No. 1
# GGA-PBE LiTa2Mn, relaxed
# Crystal system: trigonal
# Volume, Å³ per cell: 206.78
# Energy relative to the elements, eV per atom: 0.3624
# Total magnetic moment, Bohr magnetons per cell: 9.23
data_LiTa2Mn
_symmetry_space_group_name_H-M 'R 3 m'
_symmetry_Int_Tables_number 160
_symmetry_space_group_name_Hall 'R 3 -2"'
_cell_length_a 2.8509
_cell_length_b 2.8509
_cell_length_c 29.3785
_cell_angle_alpha 90.00
_cell_angle_beta 90.00
_cell_angle_gamma 120.00
loop_
_atom_site_label
_atom_site_fract_x
_atom_site_fract_y
_atom_site_fract_z
Li1 0.0000 0.0000 0.0000
Ta1 0.0000 0.0000 0.2450
Ta2 0.0000 0.0000 0.4901
Mn1 0.0000 0.0000 0.7476


No. 2
# GGA-PBE LiTa2Mn, relaxed
# Crystal system: tetragonal
# Volume, Å³ per cell: 58.25
# Energy relative to the elements, eV per atom: 0.1603
# Total magnetic moment, Bohr magnetons per cell: 0.00
data_LiTa2Mn
_symmetry_space_group_name_H-M 'P 4/m m m'
_symmetry_Int_Tables_number 123
_symmetry_space_group_name_Hall '-P 4 2'
_cell_length_a 4.340
_cell_length_b 4.340
_cell_length_c 3.092
_cell_angle_alpha 90.00
_cell_angle_beta 90.00
_cell_angle_gamma 90.00
loop_
_atom_site_label
_atom_site_fract_x
_atom_site_fract_y
_atom_site_fract_z
Li1 0.000 0.000 0.000
Ta1 0.000 0.500 0.500
Mn1 0.500 0.500 0.000


No. 3
# GGA-PBE Li2TaMn, relaxed
# Crystal system: cubic
# Volume, Å³ per cell: 205.56
# Energy relative to the elements, eV per atom: 0.8375
# Total magnetic moment, Bohr magnetons per cell: 0.00
data_Li2TaMn
_symmetry_space_group_name_H-M 'F m -3 m'
_symmetry_Int_Tables_number 225
_symmetry_space_group_name_Hall '-F 4 2 3'
_cell_length_a 5.902
_cell_length_b 5.902
_cell_length_c 5.902
_cell_angle_alpha 90.00
_cell_angle_beta 90.00
_cell_angle_gamma 90.00
loop_
_atom_site_label
_atom_site_fract_x
_atom_site_fract_y
_atom_site_fract_z
Li1 0.250 0.250 0.250
Ta1 0.000 0.000 0.000
Mn1 0.000 0.000 0.500


No. 4
# GGA-PBE LiTaMn3, relaxed
# Crystal system: cubic
# Volume, Å³ per cell: 65.77
# Energy relative to the elements, eV per atom: 0.8706
# Total magnetic moment, Bohr magnetons per cell: 6.50
data_LiTaMn3
_symmetry_space_group_name_H-M 'P m -3 m'
_symmetry_Int_Tables_number 221
_symmetry_space_group_name_Hall '-P 4 2 3'
_cell_length_a 4.037
_cell_length_b 4.037
_cell_length_c 4.037
_cell_angle_alpha 90.00
_cell_angle_beta 90.00
_cell_angle_gamma 90.00
loop_
_atom_site_label
_atom_site_fract_x
_atom_site_fract_y
_atom_site_fract_z
Li1 0.000 0.000 0.000
Ta1 0.500 0.500 0.500
Mn1 0.000 0.000 0.500


No. 5
# GGA-PBE LiTa2Mn, relaxed
# Crystal system: tetragonal
# Volume, Å³ per cell: 61.65
# Energy relative to the elements, eV per atom: 0.3018
# Total magnetic moment, Bohr magnetons per cell: 1.17
data_LiTa2Mn
_symmetry_space_group_name_H-M 'P 4 m m'
_symmetry_Int_Tables_number 99
_symmetry_space_group_name_Hall 'P 4 -2'
_cell_length_a 3.181
_cell_length_b 3.181
_cell_length_c 6.092
_cell_angle_alpha 90.00
_cell_angle_beta 90.00
_cell_angle_gamma 90.00
loop_
_atom_site_label
_atom_site_fract_x
_atom_site_fract_y
_atom_site_fract_z
Li1 0.000 0.000 0.000
Ta1 0.000 0.000 0.448
Ta2 0.500 0.500 0.736
Mn1 0.500 0.500 0.220


No. 6
# GGA-PBE Li2TaMn, relaxed
# Crystal system: tetragonal
# Volume, Å³ per cell: 59.36
# Energy relative to the elements, eV per atom: 0.6304
# Total magnetic moment, Bohr magnetons per cell: 0.07
data_Li2TaMn
_symmetry_space_group_name_H-M 'P 4/m m m'
_symmetry_Int_Tables_number 123
_symmetry_space_group_name_Hall '-P 4 2'
_cell_length_a 2.524
_cell_length_b 2.524
_cell_length_c 9.314
_cell_angle_alpha 90.00
_cell_angle_beta 90.00
_cell_angle_gamma 90.00
loop_
_atom_site_label
_atom_site_fract_x
_atom_site_fract_y
_atom_site_fract_z
Li1 0.000 0.000 0.228
Ta1 0.500 0.500 0.500
Mn1 0.500 0.500 0.000


Question: Which value of volume does entry 1 give?
Answer: 206.78 Å³ per cell


Question: Which value of volume does entry 2 give?
Answer: 58.25 Å³ per cell


Question: Which value of total magnetic moment does entry 3 give?
Answer: 0.00 Bohr magnetons per cell


Question: Which of these has the highest volume?
Answer: number 1